w) DFT (PBE) results for crystalline CoSiBr2 at its relaxed geometry.

It has space group P4/mmm (No. 123), with a = 3.170 Å, b = 3.170 Å, c = 8.659 Å, α = 90.00°, β = 90.00° and γ = 90.00°. The inequivalent atoms are Co at (0.000, 0.000, 0.000), Si at (0.000, 0.000, 0.500) and Br at (0.500, 0.500, 0.186).



x) DFT (PBE) results for crystalline CoSiBr2 at its relaxed geometry.

It has space group F-43m (No. 216), with a = 6.828 Å, b = 6.828 Å, c = 6.828 Å, α = 90.00°, β = 90.00° and γ = 90.00°. The inequivalent atoms are Co at (0.000, 0.000, 0.000), Si at (0.250, 0.250, 0.750), Br at (0.000, 0.000, 0.500) and Br at (0.250, 0.250, 0.250).



Which structure is the least stable? The one labeled x).



w) DFT (PBE) results for crystalline CoSiBr2 at its relaxed geometry.

It has space group I-42d (No. 122), with a = 9.403 Å, b = 9.403 Å, c = 4.404 Å, α = 90.00°, β = 90.00° and γ = 90.00°. The inequivalent atoms are Co at (0.000, 0.000, 0.000), Si at (0.000, 0.000, 0.500) and Br at (0.086, 0.750, 0.125).



x) DFT (PBE) results for crystalline CoSiBr2 at its relaxed geometry.

It has space group Pm (No. 6), with a = 3.535 Å, b = 3.360 Å, c = 7.924 Å, α = 90.00°, β = 99.02° and γ = 90.00°. The inequivalent atoms are Co at (0.000, 0.000, 0.000), Si at (0.495, 0.500, 0.952), Br at (0.045, 0.500, 0.239) and Br at (0.765, 0.000, 0.700).



Which structure is the least stable? The one labeled w).